The following is a DFT calculation (PBE) of a relaxed structure of AcDyMo2N6.

```
data_AcDyMo2N6
_space_group_name_H-M_alt 'C 1 2/c 1'
_space_group_IT_number 15
_cell_length_a 11.455
_cell_length_b 9.991
_cell_length_c 6.643
_cell_angle_alpha 90.00
_cell_angle_beta 113.86
_cell_angle_gamma 90.00
loop_
_space_group_symop_operation_xyz
'x,y,z'
'-x,-y,-z'
'-x,y,-z+1/2'
'x,-y,z+1/2'
'x+1/2,y+1/2,z'
'-x+1/2,-y+1/2,-z'
'-x+1/2,y+1/2,-z+1/2'
'x+1/2,-y+1/2,z+1/2'
loop_
_atom_site_label
_atom_site_fract_x
_atom_site_fract_y
_atom_site_fract_z
_atom_site_occupancy
Ac1 0.000 0.098 0.250 1
Dy1 0.000 0.297 0.750 1
Mo1 0.209 0.415 0.201 1
N1 0.117 0.120 0.674 1
N2 0.123 0.262 0.132 1
N3 0.157 0.486 0.911 1
```

Properties
total moment = 0.0 μB per cell
formation energy from raw total energies = -0.8380 eV per atom
electronic total energy = -354.820 eV/cell

---

The following is a DFT calculation (PBE) of a relaxed structure of Rb2AgHgCl5.

```
data_Rb2AgHgCl5
_space_group_name_H-M_alt 'C m c 21'
_space_group_IT_number 36
_cell_length_a 4.329
_cell_length_b 19.090
_cell_length_c 13.495
_cell_angle_alpha 90.00
_cell_angle_beta 90.00
_cell_angle_gamma 90.00
loop_
_space_group_symop_operation_xyz
'x,y,z'
'-x,-y,z+1/2'
'-x,y,z'
'x,-y,z+1/2'
'x+1/2,y+1/2,z'
'-x+1/2,-y+1/2,z+1/2'
'-x+1/2,y+1/2,z'
'x+1/2,-y+1/2,z+1/2'
loop_
_atom_site_label
_atom_site_fract_x
_atom_site_fract_y
_atom_site_fract_z
_atom_site_occupancy
Rb1 0.000 0.114 0.000 1
Rb2 0.000 0.132 0.610 1
Ag1 0.000 0.445 0.743 1
Hg1 0.000 0.216 0.324 1
Cl1 0.000 0.078 0.345 1
Cl2 0.000 0.283 0.959 1
Cl3 0.000 0.303 0.684 1
Cl4 0.000 0.349 0.308 1
Cl5 0.000 0.496 0.079 1
```

Properties
total moment = 0.0 μB per cell
formation energy from raw total energies = -1.1736 eV per atom
electronic total energy = -99.536 eV/cell

---

The following is a DFT calculation (PBE) of a relaxed structure of SrCaNF.

```
data_SrCaNF
_space_group_name_H-M_alt 'R 3 m'
_space_group_IT_number 160
_space_group_name_Hall 'R 3 -2"'
_cell_length_a 3.6052
_cell_length_b 3.6052
_cell_length_c 18.8424
_cell_angle_alpha 90.00
_cell_angle_beta 90.00
_cell_angle_gamma 120.00
loop_
_atom_site_label
_atom_site_fract_x
_atom_site_fract_y
_atom_site_fract_z
_atom_site_occupancy
Sr1 0.0000 0.0000 0.0000 1
Ca1 0.0000 0.0000 0.1910 1
N1 0.0000 0.0000 0.5908 1
F1 0.0000 0.0000 0.7696 1
```

Properties
total moment = 0.0 μB per cell
formation energy from raw total energies = -1.8925 eV per atom
electronic total energy = -64.350 eV/cell

---

The following is a DFT calculation (PBE) of a relaxed structure of Li2CdGa6.

```
data_Li2CdGa6
_space_group_name_H-M_alt 'P 6/m m m'
_space_group_IT_number 191
_space_group_name_Hall '-P 6 2'
_cell_length_a 7.7539
_cell_length_b 7.7539
_cell_length_c 3.2457
_cell_angle_alpha 90.00
_cell_angle_beta 90.00
_cell_angle_gamma 120.00
loop_
_atom_site_label
_atom_site_fract_x
_atom_site_fract_y
_atom_site_fract_z
_atom_site_occupancy
Li1 0.3333 0.6667 0.0000 1
Cd1 0.0000 0.0000 0.0000 1
Ga1 0.0000 0.3349 0.5000 1
```

Properties
total moment = 0.0 μB per cell
electronic total energy = -23.886 eV/cell
energy of formation = -109 meV/atom